Entry from Alexandria via LeMat-Bulk: a geometry-optimized Sr4Y2Fe6O15 structure (PBEsol).

## Properties
Fermi-level density of states = 0.50 states/eV per atom
total magnetic moment = 18.9 μB/f.u.
density = 5.81 g cm⁻³
space group = Fmmm (69)
total energy = -212.06 eV per cell
formation energy (no corrections) = -2.17 eV per atom

Unit cell a=11.558 b=11.555 c=5.376 alpha=76.58 beta=76.52 gamma=26.90
Fractional positions:
Sr (0.156, 0.673, 0.327)
Sr (0.327, 0.844, 0.156)
Sr (0.673, 0.156, 0.844)
Sr (0.844, 0.327, 0.673)
Y (0.000, 0.500, 0.500)
Y (0.500, 0.000, 0.000)
Fe (0.076, 0.572, 0.924)
Fe (0.247, 0.753, 0.753)
Fe (0.428, 0.924, 0.572)
Fe (0.572, 0.076, 0.428)
Fe (0.753, 0.247, 0.247)
Fe (0.924, 0.428, 0.076)
O (0.000, 0.000, 0.000)
O (0.000, 0.000, 0.500)
O (0.180, 0.180, 0.820)
O (0.184, 0.184, 0.316)
O (0.185, 0.645, 0.815)
O (0.312, 0.312, 0.688)
O (0.316, 0.316, 0.184)
O (0.355, 0.815, 0.645)
O (0.500, 0.500, 0.000)
O (0.645, 0.185, 0.355)
O (0.684, 0.684, 0.816)
O (0.688, 0.688, 0.312)
O (0.815, 0.355, 0.185)
O (0.816, 0.816, 0.684)
O (0.820, 0.820, 0.180)


Entry from Alexandria via LeMat-Bulk: a geometry-optimized KFeRe2 structure (PBEsol).

## Properties
Fermi-level density of states = 0.88 states/eV per atom
total magnetic moment = 2.3 μB/f.u.
density = 9.73 g cm⁻³
E_form = 0.89 eV per atom
space group = Pmm2 (25)
distance to the lowest polymorph of the same formula = 0.0 meV/atom
total energy = -33.21 eV per cell

Unit cell a=2.705 b=3.843 c=7.669 alpha=90.00 beta=90.00 gamma=90.00
Fractional positions:
K (0.000, 0.000, 0.000)
Fe (0.500, 0.500, 0.664)
Re (0.000, 0.000, 0.512)
Re (0.500, 0.500, 0.358)


Entry from Alexandria via LeMat-Bulk: a geometry-optimized AlMoPb structure (PBEsol).

## Properties
Fermi-level density of states = 1.04 states/eV per atom
total magnetic moment = 0.0 μB/f.u.
density = 10.11 g cm⁻³
E_form = 0.30 eV per atom
space group = I4mm (107)
total energy = -18.96 eV per cell

Unit cell a=5.222 b=5.222 c=5.222 alpha=141.73 beta=141.73 gamma=55.23
Fractional positions:
Al (0.000, 0.000, 0.000)
Mo (0.369, 0.369, 0.000)
Pb (0.690, 0.690, 0.000)